Record 1
Computed, not measured: CaNi after structural relaxation at the PBE level of DFT.

Cell: 3.4315 3.4315 3.4315 Å, 90.00 90.00 90.00°
Closest atoms and distances in Å follow each position.
Element x y z (fractional)
Ca (0.0000, 0.0000, 0.0000)  8 Ni 2.97
Ni (0.5000, 0.5000, 0.5000)  8 Ca 2.97

Results
Space-group type: Pm-3m
N(E_F): 0.97 states/eV/f.u.
ΔH_f (0 K): 0.030 eV per atom


Record 2
Computed, not measured: CaNi after structural relaxation at the PBE level of DFT.

Cell: 3.3452 3.3452 7.9299 Å, 90.00 90.00 90.00°
Closest atoms and distances in Å follow each position.
Element x y z (fractional)
Ca (0.2500, 0.2500, 0.2093)  1 Ni 2.68
Ca (0.7500, 0.7500, 0.7907)  1 Ni 2.68
Ni (0.2500, 0.2500, 0.5468)  4 Ni 2.48, 1 Ca 2.68
Ni (0.7500, 0.7500, 0.4532)  4 Ni 2.48, 1 Ca 2.68

Results
Space-group type: P4/nmm
N(E_F): 2.40 states/eV/f.u.
ΔH_f (0 K): 0.099 eV per atom


no.,calculated density (g/cm³)
1,4.06
2,3.70